The following is a SCAN calculation of a crystal of Hf2ReIrAu relaxed with PBEsol, from Alexandria via LeMat-Bulk.

Output
size of the total moment: 0.00 μB/cell
formation energy: 16.2 kcal/mol of atoms
density: 13.73 g/cm3
DOS at the Fermi energy: 4.127 states/eV/f.u.

a = 4.9455 Å, b = 4.9455 Å, c = 4.6120 Å
α = 90.00°, β = 90.00°, γ = 90.00°
With the nearest neighbours (Å) after each atom.
Positions (direct):
Hf (0.0000, 0.5000, 0.0000)  2 Re 2.47
Hf (0.5000, 0.0000, 0.0000)  2 Re 2.47
Re (0.0000, 0.0000, 0.0000)  2 Ir 2.31, 4 Hf 2.47
Ir (0.0000, 0.0000, 0.5000)  2 Re 2.31
Au (0.5000, 0.5000, 0.5000)  8 Hf 3.38, 4 Ir 3.50